No. 1
This record from Alexandria via LeMat-Bulk describes crystalline PaIn2Fe at its relaxed geometry. The functional is GGA-PBE.

- total moment (μB per formula unit) = 0.000
- DFT formation energy (meV per atom) = -213

Cell: 3.6147 3.6147 13.5577 Å, 90.00 90.00 90.00°
Fractional coordinates of all 8 atoms:
Pa (0.0000, 0.0000, 0.0000)
Pa (0.5000, 0.5000, 0.5000)
In (0.0000, 0.0000, 0.3105)
In (0.0000, 0.0000, 0.6895)
In (0.5000, 0.5000, 0.1895)
In (0.5000, 0.5000, 0.8105)
Fe (0.0000, 0.0000, 0.5000)
Fe (0.5000, 0.5000, 0.0000)

---

No. 2
This record from Alexandria via LeMat-Bulk describes crystalline MgAgMo2 at its relaxed geometry. The functional is GGA-PBE.

- total moment (μB per formula unit) = 0.000
- DFT formation energy (meV per atom) = 369

Cell: 2.7036 4.6576 5.2961 Å, 90.00 90.00 90.00°
Fractional coordinates of all 4 atoms:
Mg (0.0000, 0.0000, 0.0000)
Ag (0.0000, 0.0000, 0.5000)
Mo (0.5000, 0.5000, 0.2435)
Mo (0.5000, 0.5000, 0.7565)